{
  "formula": "PmAlVO6",
  "functional": "PBE+U",
  "state": "relaxed",
  "cell": [[5.020, 0.000, 0.000], [-2.510, 4.348, 0.000], [0.000, 0.000, 10.077]],
  "species": ["Pm", "Pm", "Al", "Al", "V", "V", "O", "O", "O", "O", "O", "O", "O", "O", "O", "O", "O", "O"],
  "frac_coords": [[0.000, 0.000, 0.000], [0.000, 0.000, 0.500], [0.333, 0.667, 0.250], [0.667, 0.333, 0.750], [0.333, 0.667, 0.750], [0.667, 0.333, 0.250], [0.002, 0.373, 0.646], [0.002, 0.629, 0.854], [0.371, 0.373, 0.854], [0.371, 0.998, 0.646], [0.373, 0.002, 0.146], [0.373, 0.371, 0.354], [0.627, 0.629, 0.646], [0.627, 0.998, 0.854], [0.629, 0.002, 0.354], [0.629, 0.627, 0.146], [0.998, 0.371, 0.146], [0.998, 0.627, 0.354]],
  "total_energy_ev_per_atom": -7.4910,
  "total_magnetization_mub_per_cell": 2.11
}